1.
A plane-wave DFT calculation with PBE was carried out for TaGe2Se6 after structural relaxation.

Cell: 6.5804 8.5654 8.5654 Å, 84.02 81.86 81.86°
Element x y z (fractional)
Ge  0.3382  0.2226  0.3840
Se  0.1217  0.8172  0.9772
Ge  0.8382  0.3840  0.2226
Ta  0.7500  0.8783  0.1217
Se  0.3783  0.0228  0.1828
Se  0.1499  0.4668  0.2880
Ge  0.6618  0.7774  0.6160
Ge  0.1618  0.6160  0.7774
Se  0.6499  0.2880  0.4668
Se  0.3742  0.3765  0.8840
Se  0.8783  0.1828  0.0228
Se  0.6217  0.9772  0.8172
Se  0.6258  0.6235  0.1160
Se  0.3501  0.7120  0.5332
Se  0.1258  0.1160  0.6235
Ta  0.2500  0.1217  0.8783
Se  0.8742  0.8840  0.3765
Se  0.8501  0.5332  0.7120

Properties
E_form (uncorrected)	-0.319	eV/atom
space-group type	C2/c
uncorrected energy	-4.98	eV/atom

=====

2.
A plane-wave DFT calculation with PBE was carried out for TaTcGe2Se after structural relaxation.

Cell: 5.0533 4.8888 5.0533 Å, 90.00 90.00 90.00°
Element x y z (fractional)
Tc  0.5000  0.5000  0.5000
Ta  0.0000  0.0000  0.0000
Ge  0.5000  0.0000  0.0000
Ge  0.0000  0.0000  0.5000
Se  0.0000  0.5000  0.0000

Properties
distance to the lowest polymorph of the same formula	0.000	eV/atom
E_form (uncorrected)	1.044	eV/atom
space-group type	P4/mmm
uncorrected energy	-5.94	eV/atom

=====

What is the E_form (uncorrected) in the first record?
-0.319 eV/atom

=====

Number 1 is which compound?
TaGe2Se6

=====

What is the formula in the first record?
TaGe2Se6

=====

What is the E_form (uncorrected) in the first record?
-0.319 eV/atom